# Rb2CrSnF6 PBE with a Hubbard U relaxed
# E_tot in eV per atom: -5.0341
# DOS(E_F) in states/eV/cell: 0.000
data_Rb2CrSnF6
_chemical_formula_sum 'Rb2 Cr1 Sn1 F6'
_symmetry_space_group_name_H-M 'P 1'
_symmetry_Int_Tables_number 1
_cell_length_a 6.313
_cell_length_b 6.221
_cell_length_c 6.414
_cell_angle_alpha 119.01
_cell_angle_beta 118.44
_cell_angle_gamma 90.00
loop_
_symmetry_equiv_pos_as_xyz
'x,y,z'
loop_
_atom_site_label
_atom_site_fract_x
_atom_site_fract_y
_atom_site_fract_z
Cr1 0.000 0.500 0.000
Sn1 0.500 0.000 0.000
F1 0.800 0.295 0.056
F2 0.699 0.248 0.496
F3 0.301 0.752 0.504
F4 0.200 0.240 0.944
F5 0.800 0.760 0.056
F6 0.200 0.705 0.944
Rb1 0.240 0.247 0.493
Rb2 0.760 0.753 0.507